(1)
Hf2NiN, single point on PBEsol structure, DFT SCAN; space-group type = Cmcm (63); DOS at the Fermi energy = 0.57 states/eV per atom; total magnetic moment = 0.0 μB/f.u.; energy relative to the elements, uncorrected = -1184 meV per atom
1.0
3.157 0.000 0.000
0.000 4.389 0.000
-1.578 0.000 7.850
Ni Hf N
2 4 2
direct
0.040 0.750 0.081 Ni
0.960 0.250 0.919 Ni
0.590 0.250 0.181 Hf
0.410 0.750 0.819 Hf
0.795 0.250 0.590 Hf
0.205 0.750 0.410 Hf
0.803 0.750 0.607 N
0.197 0.250 0.393 N

---

(2)
Hf2N2O, single point on PBEsol structure, DFT SCAN; space-group type = C2 (5); DOS at the Fermi energy = 0.00 states/eV per atom; total magnetic moment = 0.0 μB/f.u.; energy relative to the elements, uncorrected = -2461 meV per atom
1.0
5.383 0.000 0.000
2.691 4.732 -0.001
2.691 1.471 9.651
Hf N O
8 8 4
direct
0.179 0.812 0.590 Hf
0.674 0.330 0.088 Hf
0.093 0.670 0.912 Hf
0.949 0.541 0.340 Hf
0.581 0.188 0.410 Hf
0.830 0.459 0.660 Hf
0.435 0.047 0.839 Hf
0.321 0.953 0.161 Hf
0.863 0.796 0.505 N
0.117 0.452 0.757 N
0.326 0.548 0.243 N
0.164 0.204 0.495 N
0.376 0.290 0.003 N
0.412 0.756 0.749 N
0.917 0.244 0.251 N
0.669 0.710 0.997 N
0.813 0.064 0.741 O
0.557 0.500 0.500 O
0.067 0.000 0.000 O
0.618 0.936 0.259 O

---

(3)
Hf2N2O, single point on PBEsol structure, DFT SCAN; space-group type = P2_1/c (14); DOS at the Fermi energy = 0.00 states/eV per atom; total magnetic moment = 0.0 μB/f.u.; energy relative to the elements, uncorrected = -2442 meV per atom
1.0
-4.095 1.111 -3.831
3.782 -1.483 -4.321
-2.067 -6.343 0.369
Hf N O
8 8 4
direct
0.253 0.420 0.879 Hf
0.767 0.099 0.870 Hf
0.767 0.599 0.630 Hf
0.253 0.920 0.621 Hf
0.233 0.401 0.370 Hf
0.747 0.080 0.379 Hf
0.747 0.580 0.121 Hf
0.233 0.901 0.130 Hf
0.007 0.742 0.873 N
0.632 0.415 0.867 N
0.007 0.242 0.627 N
0.632 0.915 0.633 N
0.993 0.758 0.373 N
0.368 0.085 0.367 N
0.368 0.585 0.133 N
0.993 0.258 0.127 N
0.350 0.083 0.884 O
0.350 0.583 0.616 O
0.650 0.417 0.384 O
0.650 0.917 0.116 O

---

(4)
Hf5N5O2, single point on PBEsol structure, DFT SCAN; space-group type = C2/m (12); energy above the lowest structure with this stoichiometry = 0 kJ/mol of formula units; DOS at the Fermi energy = 0.09 states/eV per atom; total magnetic moment = 0.0 μB/f.u.; energy relative to the elements, uncorrected = -2384 meV per atom
1.0
3.040 0.000 0.000
-1.520 5.157 -0.008
0.000 -2.420 8.685
Hf N O
5 5 2
direct
0.113 0.225 0.423 Hf
0.703 0.405 0.809 Hf
0.297 0.595 0.191 Hf
0.887 0.775 0.577 Hf
0.000 0.000 0.000 Hf
0.500 0.000 0.500 N
0.657 0.314 0.053 N
0.737 0.474 0.352 N
0.263 0.526 0.648 N
0.343 0.686 0.947 N
0.045 0.089 0.787 O
0.955 0.911 0.213 O

---

(5)
Hf2N2O, single point on PBEsol structure, DFT SCAN; space-group type = I4_1/amd (141); DOS at the Fermi energy = 0.00 states/eV per atom; total magnetic moment = 0.0 μB/f.u.; energy relative to the elements, uncorrected = -2430 meV per atom
1.0
6.359 0.000 0.000
0.000 6.359 0.000
-3.180 -3.180 13.530
Hf N O
16 16 8
direct
0.125 0.875 0.750 Hf
0.625 0.875 0.750 Hf
0.125 0.375 0.250 Hf
0.792 0.542 0.585 Hf
0.458 0.208 0.415 Hf
0.582 0.082 0.163 Hf
0.957 0.208 0.415 Hf
0.332 0.332 0.663 Hf
0.792 0.043 0.585 Hf
0.125 0.875 0.250 Hf
0.458 0.707 0.915 Hf
0.918 0.418 0.837 Hf
0.668 0.668 0.337 Hf
0.792 0.542 0.085 Hf
0.293 0.542 0.085 Hf
0.458 0.208 0.915 Hf
0.874 0.638 0.748 N
0.712 0.446 0.424 N
0.022 0.288 0.576 N
0.554 0.288 0.576 N
0.890 0.126 0.252 N
0.362 0.126 0.252 N
0.712 0.978 0.424 N
0.376 0.640 0.752 N
0.874 0.110 0.748 N
0.538 0.772 0.076 N
0.888 0.624 0.248 N
0.696 0.462 0.924 N
0.228 0.462 0.924 N
0.360 0.624 0.248 N
0.538 0.304 0.076 N
0.376 0.112 0.752 N
0.201 0.409 0.401 O
0.659 0.951 0.901 O
0.242 0.951 0.901 O
0.201 0.992 0.401 O
0.049 0.758 0.099 O
0.008 0.799 0.599 O
0.591 0.799 0.599 O
0.049 0.341 0.099 O

---

(6)
Hf2N2O, single point on PBEsol structure, DFT SCAN; space-group type = C2/m (12); DOS at the Fermi energy = 0.00 states/eV per atom; total magnetic moment = 0.0 μB/f.u.; energy relative to the elements, uncorrected = -2468 meV per atom
1.0
-0.851 2.911 1.113
-5.780 -3.771 0.757
3.675 -1.617 7.037
Hf N O
6 6 3
direct
0.031 0.062 0.809 Hf
0.630 0.260 0.474 Hf
0.695 0.390 0.132 Hf
0.305 0.610 0.868 Hf
0.370 0.740 0.526 Hf
0.969 0.938 0.191 Hf
0.535 0.071 0.656 N
0.172 0.344 0.964 N
0.127 0.254 0.285 N
0.873 0.746 0.715 N
0.828 0.656 0.036 N
0.465 0.929 0.344 N
0.211 0.421 0.617 O
0.789 0.579 0.383 O
0.500 0.000 0.000 O

---

(7)
Hf2N2O, single point on PBEsol structure, DFT SCAN; space-group type = C2/c (15); DOS at the Fermi energy = 0.00 states/eV per atom; total magnetic moment = 0.0 μB/f.u.; energy relative to the elements, uncorrected = -2460 meV per atom
1.0
5.413 0.000 0.000
-2.706 4.710 -0.002
0.000 -0.023 14.417
Hf N O
12 12 6
direct
0.008 0.003 0.643 Hf
0.995 0.003 0.143 Hf
0.330 0.647 0.810 Hf
0.323 0.649 0.524 Hf
0.317 0.647 0.310 Hf
0.325 0.649 0.024 Hf
0.675 0.351 0.976 Hf
0.683 0.353 0.690 Hf
0.677 0.351 0.476 Hf
0.670 0.353 0.190 Hf
0.005 0.997 0.857 Hf
0.992 0.997 0.357 Hf
0.003 0.706 0.752 N
0.703 0.706 0.252 N
0.635 0.679 0.918 N
0.043 0.679 0.418 N
0.663 0.626 0.585 N
0.963 0.626 0.085 N
0.037 0.374 0.915 N
0.337 0.374 0.415 N
0.957 0.321 0.582 N
0.365 0.321 0.082 N
0.297 0.294 0.748 N
0.997 0.294 0.248 N
0.339 0.976 0.918 O
0.638 0.976 0.418 O
0.362 0.024 0.582 O
0.661 0.024 0.082 O
0.696 0.000 0.750 O
0.304 0.000 0.250 O

---

(8)
Hf2N2O, single point on PBEsol structure, DFT SCAN; space-group type = P2_1/m (11); DOS at the Fermi energy = 0.00 states/eV per atom; total magnetic moment = 0.0 μB/f.u.; energy relative to the elements, uncorrected = -2431 meV per atom
1.0
3.396 0.000 0.000
0.000 4.251 -0.006
0.000 -1.588 8.391
Hf O N
4 2 4
direct
0.750 0.710 0.394 Hf
0.750 0.880 0.828 Hf
0.250 0.120 0.172 Hf
0.250 0.290 0.606 Hf
0.750 0.188 0.061 O
0.250 0.812 0.939 O
0.250 0.666 0.250 N
0.250 0.786 0.598 N
0.750 0.214 0.402 N
0.750 0.334 0.750 N

---

(9)
Hf2N2O, single point on PBEsol structure, DFT SCAN; space-group type = Cm (8); DOS at the Fermi energy = 0.00 states/eV per atom; total magnetic moment = 0.0 μB/f.u.; energy relative to the elements, uncorrected = -2439 meV per atom
1.0
-1.645 -2.665 -0.836
6.434 -1.316 -2.182
0.559 -2.735 7.616
Hf N O
6 6 3
direct
0.969 0.937 0.200 Hf
0.361 0.722 0.526 Hf
0.306 0.611 0.867 Hf
0.694 0.387 0.131 Hf
0.635 0.271 0.479 Hf
0.036 0.072 0.813 Hf
0.465 0.929 0.352 N
0.830 0.660 0.035 N
0.878 0.756 0.710 N
0.205 0.411 0.621 N
0.126 0.251 0.274 N
0.173 0.346 0.963 N
0.786 0.571 0.379 O
0.535 0.070 0.661 O
0.502 0.005 0.989 O

---

(10)
Hf2N2O, single point on PBEsol structure, DFT SCAN; space-group type = P2/c (13); DOS at the Fermi energy = 0.00 states/eV per atom; total magnetic moment = 0.0 μB/f.u.; energy relative to the elements, uncorrected = -2438 meV per atom
1.0
5.448 0.000 0.000
0.000 5.749 0.012
0.000 -0.627 7.814
Hf N O
8 8 4
direct
0.000 0.721 0.143 Hf
0.000 0.721 0.643 Hf
0.511 0.789 0.355 Hf
0.489 0.789 0.855 Hf
0.511 0.211 0.145 Hf
0.489 0.211 0.645 Hf
0.000 0.279 0.357 Hf
0.000 0.279 0.857 Hf
0.348 0.849 0.101 N
0.652 0.849 0.601 N
0.715 0.500 0.250 N
0.285 0.500 0.750 N
0.348 0.151 0.399 N
0.652 0.151 0.899 N
0.806 0.000 0.250 N
0.194 0.000 0.750 N
0.152 0.649 0.398 O
0.848 0.649 0.898 O
0.152 0.351 0.102 O
0.848 0.351 0.602 O

---

(11)
Hf5N5O2, single point on PBEsol structure, DFT SCAN; space-group type = Cm (8); energy above the lowest structure with this stoichiometry = 20 kJ/mol of formula units; DOS at the Fermi energy = 0.09 states/eV per atom; total magnetic moment = 0.0 μB/f.u.; energy relative to the elements, uncorrected = -2367 meV per atom
1.0
-0.212 -1.441 -2.674
3.687 -2.624 2.854
-7.964 -3.513 2.525
Hf N O
5 5 2
direct
0.889 0.779 0.080 Hf
0.303 0.606 0.703 Hf
0.695 0.391 0.300 Hf
0.111 0.222 0.918 Hf
0.011 0.022 0.494 Hf
0.488 0.975 0.981 N
0.260 0.519 0.144 N
0.732 0.465 0.848 N
0.664 0.327 0.554 N
0.046 0.093 0.283 N
0.954 0.908 0.705 O
0.347 0.695 0.448 O

---

(12)
Hf2N2O, single point on PBEsol structure, DFT SCAN; space-group type = P-3m1 (164); DOS at the Fermi energy = 0.00 states/eV per atom; total magnetic moment = 0.0 μB/f.u.; energy relative to the elements, uncorrected = -2428 meV per atom
1.0
6.365 0.000 0.000
-3.182 5.512 0.000
0.000 0.000 15.575
Hf N O
16 16 8
direct
0.333 0.667 0.045 Hf
0.333 0.667 0.669 Hf
0.500 0.500 0.500 Hf
0.167 0.335 0.835 Hf
0.335 0.167 0.165 Hf
0.833 0.167 0.165 Hf
0.000 0.000 0.372 Hf
0.500 0.000 0.500 Hf
0.000 0.000 0.628 Hf
0.000 0.000 0.000 Hf
0.665 0.833 0.835 Hf
0.167 0.833 0.835 Hf
0.833 0.665 0.165 Hf
0.000 0.500 0.500 Hf
0.667 0.333 0.331 Hf
0.667 0.333 0.955 Hf
0.333 0.667 0.913 N
0.177 0.355 0.583 N
0.156 0.311 0.087 N
0.355 0.177 0.417 N
0.823 0.177 0.417 N
0.844 0.156 0.913 N
0.311 0.156 0.913 N
0.000 0.000 0.240 N
0.000 0.000 0.760 N
0.156 0.844 0.087 N
0.689 0.844 0.087 N
0.177 0.823 0.583 N
0.645 0.823 0.583 N
0.844 0.689 0.913 N
0.823 0.645 0.417 N
0.667 0.333 0.087 N
0.474 0.948 0.759 O
0.333 0.667 0.439 O
0.474 0.526 0.759 O
0.052 0.526 0.759 O
0.948 0.474 0.241 O
0.526 0.474 0.241 O
0.667 0.333 0.561 O
0.526 0.052 0.241 O

---

(13)
Hf2N2O, single point on PBEsol structure, DFT SCAN; space-group type = Pm (6); DOS at the Fermi energy = 0.00 states/eV per atom; total magnetic moment = 0.0 μB/f.u.; energy relative to the elements, uncorrected = -2452 meV per atom
1.0
-2.646 -0.697 -1.741
-3.996 -1.716 6.761
-2.860 13.284 -0.969
Hf N O
12 12 6
direct
0.500 0.178 0.008 Hf
0.500 0.545 0.119 Hf
0.000 0.185 0.222 Hf
0.000 0.825 0.284 Hf
0.500 0.498 0.393 Hf
0.500 0.144 0.437 Hf
0.000 0.881 0.570 Hf
0.000 0.500 0.618 Hf
0.500 0.178 0.717 Hf
0.500 0.821 0.783 Hf
0.000 0.446 0.879 Hf
0.000 0.806 0.984 Hf
0.500 0.318 0.177 N
0.500 0.657 0.284 N
0.500 0.014 0.266 N
0.000 0.307 0.372 N
0.500 0.383 0.537 N
0.500 0.036 0.568 N
0.000 0.979 0.727 N
0.000 0.341 0.718 N
0.000 0.669 0.810 N
0.500 0.936 0.929 N
0.500 0.270 0.873 N
0.500 0.613 0.973 N
0.000 0.377 0.033 O
0.000 0.718 0.131 O
0.000 0.058 0.071 O
0.000 0.971 0.424 O
0.000 0.641 0.466 O
0.500 0.705 0.627 O

---

(14)
Hf2N2O, single point on PBEsol structure, DFT SCAN; space-group type = P1 (1); total magnetic moment = 0.0 μB/f.u.; energy relative to the elements, uncorrected = -2462 meV per atom
1.0
5.365 -0.004 0.004
0.005 6.400 0.001
0.042 1.590 6.711
Hf N O
8 8 4
direct
0.710 0.870 0.153 Hf
0.702 0.371 0.154 Hf
0.198 0.323 0.345 Hf
0.212 0.822 0.342 Hf
0.771 0.505 0.610 Hf
0.767 0.008 0.606 Hf
0.311 0.693 0.866 Hf
0.275 0.185 0.895 Hf
0.428 0.616 0.181 N
0.422 0.108 0.195 N
0.925 0.583 0.311 N
0.924 0.080 0.307 N
0.523 0.774 0.528 N
0.042 0.248 0.637 N
0.549 0.953 0.866 N
0.546 0.431 0.867 N
0.554 0.289 0.490 O
0.026 0.749 0.644 O
0.059 0.901 0.999 O
0.055 0.415 0.003 O

---

(15)
HfPNO2, single point on PBEsol structure, DFT SCAN; space-group type = P4/mmm (123); DOS at the Fermi energy = 0.19 states/eV per atom; total magnetic moment = 0.0 μB/f.u.; energy relative to the elements, uncorrected = -750 meV per atom
1.0
-2.564 1.601 -2.548
-0.586 -3.548 -1.641
-3.214 -0.748 2.764
P Hf O N
1 1 2 1
direct
0.500 0.500 0.500 P
0.000 0.000 0.000 Hf
0.000 0.500 0.000 O
0.500 0.000 0.000 O
0.000 0.000 0.500 N

---

(16)
HfSiNO2, single point on PBEsol structure, DFT SCAN; space-group type = P4/mmm (123); DOS at the Fermi energy = 0.19 states/eV per atom; total magnetic moment = 1.0 μB/f.u.; energy relative to the elements, uncorrected = -1061 meV per atom
1.0
-3.301 0.748 2.135
-2.169 -2.119 -2.611
0.681 -3.510 2.283
Si Hf O N
1 1 2 1
direct
0.500 0.500 0.500 Si
0.000 0.000 0.000 Hf
0.000 0.500 0.000 O
0.500 0.000 0.000 O
0.000 0.000 0.500 N

---

Quick rundown of total energy, same order as above: -38.886; -32.493; -32.474; -33.408; -32.462; -32.500; -32.492; -32.463; -32.470; -32.470; -33.391; -32.460; -32.484; -32.494; -19.715; -19.950 eV per atom